Here is an optimized crystal structure of CdCuHgB from the Open Quantum Materials Database. Energies are from GGA-PBE.

Properties
* crystal system: cubic
* total energy: -1.92 eV/atom

Unit cell a=6.4450 b=6.4450 c=6.4450 alpha=90.00 beta=90.00 gamma=90.00
Closest atoms and distances in Å follow each position.
Space group F-43m (No. 216)
One atom of each set of equivalent atoms:
Cd 0.0000 0.0000 0.0000  4 Hg 2.79, 4 B 2.79
Cu 0.0000 0.0000 0.5000  4 B 2.79, 4 Hg 2.79
Hg 0.2500 0.2500 0.7500  4 Cd 2.79, 4 Cu 2.79
B 0.2500 0.2500 0.2500  4 Cd 2.79, 4 Cu 2.79